The following is a GGA+U calculation of crystalline Tl2Ni2IrO6 at its relaxed geometry, from Alexandria via LeMat-Bulk.

a b c (Å): 5.346 5.346 6.575
angles (deg): 97.98 97.98 119.73
Element x y z (fractional)
Ni 0.335 0.665 0.500
Tl 0.831 0.169 0.000
Tl 0.169 0.831 0.000
O 0.743 0.743 0.667
Ni 0.665 0.335 0.500
O 0.948 0.630 0.338
O 0.370 0.052 0.662
O 0.052 0.370 0.662
O 0.257 0.257 0.333
Ir 0.000 0.000 0.500
O 0.630 0.948 0.338

Values from the calculation:
Total magnetic moment: 1.73 Bohr magnetons per cell
Final energy: -5.166 eV per atom
Space-group type: C2/m (12)